## K3MnI2O9 (PBE with a Hubbard U)

Data for K3MnI2O9 after structural relaxation.

Unit cell a=5.7871 b=5.7871 c=7.0987 alpha=90.00 beta=90.00 gamma=120.00
Last column: nearest neighbours and their distance in Å.
Space group P-3m1 (No. 164)
Unique sites:
K1 0.0000 0.0000 0.0000 (multiplicity 1)  12 O 2.87-2.89
K2 0.3333 0.6667 0.6681 (multiplicity 2)  12 O 2.89-2.93
Mn1 0.0000 0.0000 0.5000 (multiplicity 1)  6 O 2.18
I1 0.3333 0.6667 0.1782 (multiplicity 2)  6 O 1.87-2.10
O1 0.0000 0.5000 0.0000 (multiplicity 3)  2 I 2.10
O2 0.1756 0.3513 0.3200 (multiplicity 6)  1 I 1.87

## Properties
Total magnetic moment = 0.32 μB per atom
Calculated total energy = -4.8715 eV/atom